Pr2DyY6Sc3 | PBE | relaxed

a b c (Å): 6.1186 6.1186 11.5856
angles (deg): 95.05 95.05 120.00
With the nearest neighbours (Å) after each atom.
Element x y z (fractional)
Sc (0.5000, 0.5000, 0.5000)  6 Y 3.40, 6 Sc 3.53-3.54
Sc (0.8337, 0.1663, 0.5000)  6 Y 3.39-3.40, 6 Sc 3.53-3.54
Sc (0.1663, 0.8337, 0.5000)  6 Y 3.39-3.40, 6 Sc 3.53-3.54
Y (0.2453, 0.2453, 0.7383)  3 Sc 3.39-3.40, 6 Y 3.52-3.54, 1 Dy 3.61, 2 Pr 3.62
Y (0.7547, 0.7547, 0.2617)  3 Sc 3.39-3.40, 6 Y 3.52-3.54, 1 Dy 3.61, 2 Pr 3.62
Y (0.5801, 0.9128, 0.7382)  3 Sc 3.40, 6 Y 3.52-3.54, 1 Dy 3.61, 2 Pr 3.62
Y (0.4199, 0.0872, 0.2618)  3 Sc 3.40, 6 Y 3.52-3.54, 1 Dy 3.61, 2 Pr 3.62
Y (0.0872, 0.4199, 0.2618)  3 Sc 3.40, 6 Y 3.52-3.54, 1 Dy 3.61, 2 Pr 3.62
Y (0.9128, 0.5801, 0.7382)  3 Sc 3.40, 6 Y 3.52-3.54, 1 Dy 3.61, 2 Pr 3.62
Dy (0.0000, 0.0000, 0.0000)  6 Pr 3.53, 6 Y 3.61
Pr (0.3332, 0.6668, 0.0000)  3 Dy 3.53, 3 Pr 3.53-3.54, 6 Y 3.62
Pr (0.6668, 0.3332, 0.0000)  3 Dy 3.53, 3 Pr 3.53-3.54, 6 Y 3.62

Values from the calculation:
The energy comes out at -5.94 eV/atom. The density of states at the Fermi level is 1.56 states/eV per atom. As for the symmetry: C2/m (12). Its formation energy is 0.053 eV/atom. The total moment comes out at 0.000 μB/atom.